A relaxed structure of Cu4TcW, computed with PBE.

Lattice parameters (Å, degrees): 6.729 6.729 6.729 90.00 90.00 90.00
Space group F-43m (No. 216)
One atom of each set of equivalent atoms:
1 Cu 0.125 0.125 0.125 (multiplicity 16)
2 Tc 0.250 0.250 0.750 (multiplicity 4)
3 W 0.000 0.000 0.500 (multiplicity 4)

Properties
Calculated formation energy ... 195 meV per atom


A relaxed structure of Pm3Sm2Sc3, computed with PBE.

Lattice parameters (Å, degrees): 6.1833 6.1833 23.0497 90.00 90.00 120.00
Space group R-3m (No. 166, hexagonal axes)
One atom of each set of equivalent atoms:
1 Pm 0.0000 0.0000 0.0000 (multiplicity 3)
2 Pm 0.0000 0.0000 0.4221 (multiplicity 6)
3 Sm 0.0000 0.0000 0.2830 (multiplicity 6)
4 Sc 0.0000 0.5000 0.5000 (multiplicity 9)

Properties
Calculated formation energy ... 262 meV per atom


A relaxed structure of CsNa2C2O6, computed with PBE.

Lattice parameters (Å, degrees): 10.666 5.991 6.119 90.00 114.04 90.00
Space group C2/m (No. 12)
One atom of each set of equivalent atoms:
1 Cs 0.000 0.000 0.000 (multiplicity 2)
2 Na 0.183 0.500 0.300 (multiplicity 4)
3 C 0.147 0.500 0.739 (multiplicity 4)
4 O 0.071 0.500 0.857 (multiplicity 4)
5 O 0.186 0.314 0.679 (multiplicity 8)

Properties
Energy relative to the elements, uncorrected ... -1580.5 meV per atom


A relaxed structure of ErUAs, computed with PBE.

Lattice parameters (Å, degrees): 3.936 3.936 8.377 90.00 90.00 90.00
Space group P4/nmm (No. 129, origin choice 2)
One atom of each set of equivalent atoms:
1 Er 0.250 0.250 0.139 (multiplicity 2)
2 U 0.250 0.750 0.500 (multiplicity 2)
3 As 0.250 0.250 0.782 (multiplicity 2)

Properties
Calculated formation energy ... -810 meV per atom


A relaxed structure of YBeW2, computed with PBE.

Lattice parameters (Å, degrees): 4.3054 4.3054 14.2343 90.00 90.00 120.00
Space group R3m (No. 160, hexagonal axes)
One atom of each set of equivalent atoms:
1 Y 0.0000 0.0000 0.0000 (multiplicity 3)
2 Be 0.0000 0.0000 0.1972 (multiplicity 3)
3 W 0.0000 0.0000 0.5084 (multiplicity 3)
4 W 0.0000 0.0000 0.7904 (multiplicity 3)

Properties
Calculated formation energy ... 362 meV per atom


A relaxed structure of CdGeTeN2, computed with PBE.

Lattice parameters (Å, degrees): 3.978 3.978 5.932 90.00 90.00 90.00
Space group P4/mmm (No. 123)
One atom of each set of equivalent atoms:
1 Cd 0.000 0.000 0.000 (multiplicity 1)
2 Ge 0.500 0.500 0.500 (multiplicity 1)
3 Te 0.500 0.500 0.000 (multiplicity 1)
4 N 0.000 0.500 0.500 (multiplicity 2)

Properties
Energy relative to the elements, uncorrected ... 1122.8 meV per atom


A relaxed structure of CaCoH3, computed with PBE.

Lattice parameters (Å, degrees): 4.6698 4.6698 14.3641 90.00 90.00 120.00
Space group R-3m (No. 166, hexagonal axes)
One atom of each set of equivalent atoms:
1 Ca 0.0000 0.0000 0.1058 (multiplicity 6)
2 Co 0.0000 0.0000 0.3277 (multiplicity 6)
3 H 0.0039 0.5020 0.0722 (multiplicity 18)


A relaxed structure of Ac4Pb2Br, computed with PBE.

Lattice parameters (Å, degrees): 5.744 5.744 17.696 90.00 90.00 90.00
Space group I4/mmm (No. 139)
One atom of each set of equivalent atoms:
1 Ac 0.000 0.000 0.180 (multiplicity 4)
2 Ac 0.000 0.500 0.000 (multiplicity 4)
3 Pb 0.000 0.000 0.371 (multiplicity 4)
4 Br 0.000 0.000 0.000 (multiplicity 2)

Properties
Energy relative to the elements, uncorrected ... -392.1 meV per atom


A relaxed structure of HfIn2Ag, computed with PBE.

Lattice parameters (Å, degrees): 7.796 7.796 6.060 90.00 90.00 90.00
Space group I-42d (No. 122)
One atom of each set of equivalent atoms:
1 Hf 0.000 0.000 0.000 (multiplicity 4)
2 In 0.227 0.250 0.625 (multiplicity 8)
3 Ag 0.000 0.000 0.500 (multiplicity 4)

Properties
Calculated formation energy ... 214 meV per atom


A relaxed structure of SmErOsPt, computed with PBE.

Lattice parameters (Å, degrees): 6.934 6.934 6.934 90.00 90.00 90.00
Space group F-43m (No. 216)
One atom of each set of equivalent atoms:
1 Sm 0.000 0.000 0.000 (multiplicity 4)
2 Er 0.000 0.000 0.500 (multiplicity 4)
3 Os 0.250 0.250 0.250 (multiplicity 4)
4 Pt 0.250 0.250 0.750 (multiplicity 4)

Properties
Calculated formation energy ... -596 meV per atom


A relaxed structure of Sr2TeO6, computed with PBE.

Lattice parameters (Å, degrees): 11.566 5.914 3.922 90.00 104.96 90.00
Space group C2/m (No. 12)
One atom of each set of equivalent atoms:
1 Sr 0.165 0.000 0.176 (multiplicity 4)
2 Te 0.000 0.500 0.500 (multiplicity 2)
3 O 0.000 0.297 0.000 (multiplicity 4)
4 O 0.133 0.280 0.648 (multiplicity 8)

Properties
Energy relative to the elements, uncorrected ... -1482.2 meV per atom


A relaxed structure of SbAsPd5, computed with PBE.

Lattice parameters (Å, degrees): 4.081 4.081 7.090 90.00 90.00 90.00
Space group P4/mmm (No. 123)
One atom of each set of equivalent atoms:
1 Sb 0.000 0.000 0.000 (multiplicity 1)
2 As 0.500 0.500 0.500 (multiplicity 1)
3 Pd 0.000 0.500 0.289 (multiplicity 4)
4 Pd 0.500 0.500 0.000 (multiplicity 1)

Properties
Energy relative to the elements, uncorrected ... -397.8 meV per atom


no.,E_tot (eV/cell)
1,-154.1
2,-121.8
3,-138.1
4,-45.9
5,-103.9
6,-19.7
7,-124.1
8,-56.5
9,-69.7
10,-115.7
11,-99.2
12,-37.5